[1]
Material: Tb4Ho15Tl
Method: DFT, PBE
State: relaxed Values from VASP.

Quantum ESPRESSO input file:
```
&SYSTEM
  ibrav = 0, nat = 20, ntyp = 3
/
ATOMIC_SPECIES
Tb 158.93 Tb.upf
Ho 164.93 Ho.upf
Tl 204.38 Tl.upf
CELL_PARAMETERS angstrom
4.946 0.000 0.000
0.000 4.946 0.000
0.000 0.000 25.045
ATOMIC_POSITIONS angstrom
Tb 0.000 0.000 2.525
Tb 0.000 0.000 7.557
Tb 0.000 0.000 17.488
Tb 0.000 0.000 22.520
Ho 0.000 2.473 0.000
Ho 0.000 2.473 5.046
Ho 0.000 2.473 10.083
Ho 0.000 2.473 14.962
Ho 0.000 2.473 20.000
Ho 2.473 0.000 0.000
Ho 2.473 0.000 5.046
Ho 2.473 0.000 10.083
Ho 2.473 0.000 14.962
Ho 2.473 0.000 20.000
Ho 2.473 2.473 2.539
Ho 2.473 2.473 7.622
Ho 2.473 2.473 12.523
Ho 2.473 2.473 17.424
Ho 2.473 2.473 22.506
Tl 0.000 0.000 12.523
```

## Properties
M_tot in μB per formula unit: 0.002
DFT formation energy in eV/atom: -0.016
Final energy in eV/atom: -4.494

[2]
Material: HoS8
Method: DFT, PBE
State: relaxed Values from VASP.

Quantum ESPRESSO input file:
```
&SYSTEM
  ibrav = 0, nat = 9, ntyp = 2
/
ATOMIC_SPECIES
Ho 164.93 Ho.upf
S 32.06 S.upf
CELL_PARAMETERS angstrom
-5.223 5.223 2.138
5.223 -5.223 2.138
5.223 5.223 -2.138
ATOMIC_POSITIONS angstrom
Ho 0.000 0.000 0.000
S 4.190 0.000 0.000
S 6.255 0.000 0.000
S 3.976 3.976 0.000
S 1.246 -1.246 2.138
S 0.000 4.190 0.000
S 0.000 6.255 0.000
S -1.246 1.246 2.138
S 1.246 1.246 2.138
```

## Properties
M_tot in μB per formula unit: 0.011
Final energy in eV/atom: -4.002

[3]
Material: FeSb2Pb
Method: DFT, PBE
State: relaxed Values from VASP.

Quantum ESPRESSO input file:
```
&SYSTEM
  ibrav = 0, nat = 8, ntyp = 3
/
ATOMIC_SPECIES
Fe 55.84 Fe.upf
Sb 121.76 Sb.upf
Pb 207.20 Pb.upf
CELL_PARAMETERS angstrom
3.262 0.000 0.000
0.000 5.116 0.000
0.000 0.000 12.010
ATOMIC_POSITIONS angstrom
Fe 0.000 0.000 0.000
Fe 1.631 2.558 6.005
Sb 0.000 2.558 3.887
Sb 0.000 2.558 8.123
Sb 1.631 0.000 2.118
Sb 1.631 0.000 9.892
Pb 0.000 0.000 6.005
Pb 1.631 2.558 0.000
```

## Properties
M_tot in μB per formula unit: 2.152
Final energy in eV/atom: -4.828

[4]
Material: InRe2Hg
Method: DFT, PBE
State: relaxed Values from VASP.

Quantum ESPRESSO input file:
```
&SYSTEM
  ibrav = 0, nat = 8, ntyp = 3
/
ATOMIC_SPECIES
In 114.82 In.upf
Re 186.21 Re.upf
Hg 200.59 Hg.upf
CELL_PARAMETERS angstrom
10.273 0.000 0.000
0.000 2.936 0.000
-1.170 0.000 4.803
ATOMIC_POSITIONS angstrom
In 0.000 0.000 0.000
In 5.136 1.468 0.000
Re 2.346 1.468 1.178
Re 4.181 0.000 2.267
Re 7.483 0.000 1.178
Re 9.317 1.468 2.267
Hg 1.433 0.000 3.451
Hg 6.570 1.468 3.451
```

## Properties
Distance to the lowest polymorph of the same formula in meV/atom: 453.1
M_tot in μB per formula unit: 0.000
DFT formation energy in eV/atom: 0.749
Final energy in eV/atom: -6.235

[5]
Material: TmZr3Zn8
Method: DFT, PBE
State: relaxed Values from VASP.

Quantum ESPRESSO input file:
```
&SYSTEM
  ibrav = 0, nat = 12, ntyp = 3
/
ATOMIC_SPECIES
Tm 168.93 Tm.upf
Zr 91.22 Zr.upf
Zn 65.41 Zn.upf
CELL_PARAMETERS angstrom
2.642 1.526 8.624
-2.642 1.526 8.624
0.000 -3.051 8.624
ATOMIC_POSITIONS angstrom
Tm 0.000 0.000 0.000
Zr 0.000 0.000 3.263
Zr 0.000 0.000 12.907
Zr 0.000 0.000 16.089
Zn 0.000 -1.518 5.891
Zn -1.315 0.759 5.891
Zn -1.320 -0.762 10.249
Zn 0.000 0.000 8.053
Zn 1.315 0.759 5.891
Zn 1.320 -0.762 10.249
Zn 0.000 1.525 10.249
Zn 0.000 0.000 21.008
```

## Properties
Distance to the lowest polymorph of the same formula in meV/atom: 0.0
M_tot in μB per formula unit: 3.388
DFT formation energy in eV/atom: -0.282
Final energy in eV/atom: -3.641

[6]
Material: RbBa2B
Method: DFT, PBE
State: relaxed Values from VASP.

Quantum ESPRESSO input file:
```
&SYSTEM
  ibrav = 0, nat = 16, ntyp = 3
/
ATOMIC_SPECIES
Rb 85.47 Rb.upf
Ba 137.33 Ba.upf
B 10.81 B.upf
CELL_PARAMETERS angstrom
9.504 0.000 0.000
0.000 9.504 0.000
0.000 0.000 9.823
ATOMIC_POSITIONS angstrom
Rb 0.000 0.000 0.000
Rb 0.000 4.752 2.456
Rb 4.752 0.000 7.367
Rb 4.752 4.752 4.911
Ba 0.996 2.376 6.139
Ba 2.376 5.748 8.595
Ba 2.376 8.508 3.683
Ba 3.756 2.376 1.228
Ba 5.748 7.128 1.228
Ba 7.128 0.996 3.683
Ba 7.128 3.756 8.595
Ba 8.508 7.128 6.139
B 0.000 0.000 4.911
B 0.000 4.752 7.367
B 4.752 0.000 2.456
B 4.752 4.752 0.000
```

## Properties
M_tot in μB per formula unit: 0.000
DFT formation energy in eV/atom: 0.655
Final energy in eV/atom: -2.217

[7]
Material: Y2TlSb
Method: DFT, PBE
State: relaxed Values from VASP.

Quantum ESPRESSO input file:
```
&SYSTEM
  ibrav = 0, nat = 8, ntyp = 3
/
ATOMIC_SPECIES
Y 88.91 Y.upf
Tl 204.38 Tl.upf
Sb 121.76 Sb.upf
CELL_PARAMETERS angstrom
4.400 0.000 0.000
0.000 4.423 0.000
0.000 0.000 11.584
ATOMIC_POSITIONS angstrom
Y 0.000 0.000 0.000
Y 0.000 2.211 5.792
Y 2.200 0.000 3.054
Y 2.200 2.211 8.846
Tl 2.200 0.000 6.101
Tl 2.200 2.211 0.309
Sb 0.000 0.000 8.427
Sb 0.000 2.211 2.635
```

## Properties
Distance to the lowest polymorph of the same formula in meV/atom: 70.9
M_tot in μB per formula unit: 0.000
Final energy in eV/atom: -5.537

[8]
Material: NdSm2ThN4
Method: DFT, PBE
State: relaxed Values from VASP.

Quantum ESPRESSO input file:
```
&SYSTEM
  ibrav = 0, nat = 8, ntyp = 4
/
ATOMIC_SPECIES
Nd 144.24 Nd.upf
Sm 150.36 Sm.upf
Th 232.04 Th.upf
N 14.01 N.upf
CELL_PARAMETERS angstrom
6.264 0.000 0.000
0.000 3.631 0.000
-2.081 0.000 5.916
ATOMIC_POSITIONS angstrom
Nd 0.000 0.000 0.000
Sm 2.092 0.000 2.958
Sm 3.132 1.815 0.000
Th -1.040 1.815 2.958
N -0.005 0.000 4.393
N 1.022 1.815 1.523
N 3.161 1.815 4.394
N 4.188 0.000 1.524
```

## Properties
M_tot in μB per formula unit: 0.000
Final energy in eV/atom: -8.382

[9]
Material: LaTbLuSc
Method: DFT, PBE
State: relaxed Values from VASP.

Quantum ESPRESSO input file:
```
&SYSTEM
  ibrav = 0, nat = 16, ntyp = 4
/
ATOMIC_SPECIES
La 138.91 La.upf
Tb 158.93 Tb.upf
Lu 174.97 Lu.upf
Sc 44.96 Sc.upf
CELL_PARAMETERS angstrom
7.904 0.000 0.000
0.000 7.904 0.000
0.000 0.000 7.904
ATOMIC_POSITIONS angstrom
La 0.000 0.000 0.000
La 0.000 3.952 3.952
La 3.952 0.000 3.952
La 3.952 3.952 0.000
Tb 0.000 0.000 3.952
Tb 0.000 3.952 0.000
Tb 3.952 0.000 0.000
Tb 3.952 3.952 3.952
Lu 1.976 1.976 5.928
Lu 1.976 5.928 1.976
Lu 5.928 1.976 1.976
Lu 5.928 5.928 5.928
Sc 1.976 1.976 1.976
Sc 1.976 5.928 5.928
Sc 5.928 1.976 5.928
Sc 5.928 5.928 1.976
```

## Properties
M_tot in μB per formula unit: 0.000
DFT formation energy in eV/atom: 0.081
Final energy in eV/atom: -5.022

[10]
Material: Nd2Sm5Dy3
Method: DFT, PBE
State: relaxed Values from VASP.

Quantum ESPRESSO input file:
```
&SYSTEM
  ibrav = 0, nat = 20, ntyp = 3
/
ATOMIC_SPECIES
Nd 144.24 Nd.upf
Sm 150.36 Sm.upf
Dy 162.50 Dy.upf
CELL_PARAMETERS angstrom
5.424 -7.941 0.000
5.424 7.941 0.000
-5.385 0.000 7.937
ATOMIC_POSITIONS angstrom
Nd 1.267 1.979 0.397
Nd -1.425 -1.979 4.365
Nd 6.888 1.979 3.572
Nd 4.196 -1.979 7.540
Sm -1.304 1.871 6.223
Sm 1.385 4.271 5.953
Sm 4.078 3.619 1.984
Sm 1.388 -1.871 2.254
Sm 4.078 0.491 1.984
Sm 1.385 -0.491 5.953
Sm 4.075 1.871 5.683
Sm 1.385 -3.619 5.953
Sm 4.078 -4.271 1.984
Sm 6.767 -1.871 1.714
Dy 1.385 7.574 5.953
Dy 1.261 1.910 3.605
Dy -1.432 -1.910 7.574
Dy 6.895 1.910 0.363
Dy 4.202 -1.910 4.332
Dy 4.078 -7.574 1.984
```

## Properties
Distance to the lowest polymorph of the same formula in meV/atom: 0.0
M_tot in μB per formula unit: 0.000
DFT formation energy in eV/atom: 0.189
Final energy in eV/atom: -4.505

[11]
Material: Ni2IrPb2
Method: DFT, PBE
State: relaxed Values from VASP.

Quantum ESPRESSO input file:
```
&SYSTEM
  ibrav = 0, nat = 10, ntyp = 3
/
ATOMIC_SPECIES
Ni 58.69 Ni.upf
Ir 192.22 Ir.upf
Pb 207.20 Pb.upf
CELL_PARAMETERS angstrom
5.123 0.000 0.000
0.000 5.123 0.000
0.000 0.000 7.311
ATOMIC_POSITIONS angstrom
Ni 0.000 0.000 1.135
Ni 0.000 0.000 6.176
Ni 2.561 2.561 2.521
Ni 2.561 2.561 4.790
Ir 0.000 0.000 3.656
Ir 2.561 2.561 0.000
Pb 0.000 2.561 1.828
Pb 0.000 2.561 5.483
Pb 2.561 0.000 1.828
Pb 2.561 0.000 5.483
```

## Properties
Distance to the lowest polymorph of the same formula in meV/atom: 249.1
M_tot in μB per formula unit: 0.004
DFT formation energy in eV/atom: 0.631
Final energy in eV/atom: -4.937

[12]
Material: Pm2BiI
Method: DFT, PBE
State: relaxed Values from VASP.

Quantum ESPRESSO input file:
```
&SYSTEM
  ibrav = 0, nat = 8, ntyp = 3
/
ATOMIC_SPECIES
Pm 145.00 Pm.upf
Bi 208.98 Bi.upf
I 126.90 I.upf
CELL_PARAMETERS angstrom
7.988 0.000 0.000
0.000 4.691 0.000
-2.747 0.000 7.217
ATOMIC_POSITIONS angstrom
Pm 1.312 0.000 1.624
Pm -0.065 2.345 5.593
Pm 5.306 2.345 1.624
Pm 3.929 0.000 5.593
Bi 0.000 2.345 0.000
Bi 3.994 0.000 0.000
I -1.374 0.000 3.609
I 2.620 2.345 3.609
```

## Properties
Distance to the lowest polymorph of the same formula in meV/atom: 0.0
M_tot in μB per formula unit: 0.000
Final energy in eV/atom: -4.586